Crystalline Ac2HoInAu6 at its relaxed geometry. Source: Alexandria, functional PBE-GGA.

Values from the calculation:
As for the magnetization: 0.00 μB/f.u. Its formation energy is -0.261 eV per atom. The value obtained for the total energy is -3.7807 eV per atom. The volume is 299.8 Å³/f.u. The space group is Fm-3m.

Unit cell a=7.512 b=7.512 c=7.512 alpha=60.00 beta=60.00 gamma=60.00
Atoms (fractional coordinates):
Ac (0.250, 0.250, 0.250)
Ac (0.750, 0.750, 0.750)
Ho (0.000, 0.000, 0.000)
In (0.500, 0.500, 0.500)
Au (0.253, 0.253, 0.747)
Au (0.253, 0.747, 0.253)
Au (0.253, 0.747, 0.747)
Au (0.747, 0.253, 0.253)
Au (0.747, 0.253, 0.747)
Au (0.747, 0.747, 0.253)


Crystalline AgS at its relaxed geometry. Source: Alexandria, functional PBE-GGA.

Values from the calculation:
As for the magnetization: 0.00 μB/f.u. The value obtained for the total energy is -3.3845 eV per atom. The volume is 36.9 Å³/f.u. The space group is Fm-3m. Its uncorrected formation energy is 0.1048 eV/atom.

Unit cell a=3.738 b=3.738 c=3.738 alpha=60.00 beta=60.00 gamma=60.00
Atoms (fractional coordinates):
Ag (0.000, 0.000, 0.000)
S (0.500, 0.500, 0.500)